# U2SiAs, relaxed, DFT PBE
data_U2SiAs
_cell_length_a 4.074
_cell_length_b 4.074
_cell_length_c 7.016
_cell_angle_alpha 73.12
_cell_angle_beta 73.12
_cell_angle_gamma 60.00
_space_group_name_H-M_alt 'P 1'
_space_group_IT_number 1
loop_
_space_group_symop_operation_xyz
'x,y,z'
loop_
_atom_site_label
_atom_site_type_symbol
_atom_site_fract_x
_atom_site_fract_y
_atom_site_fract_z
_atom_site_occupancy
U1 U 0.252 0.252 0.244 1
U2 U 0.748 0.748 0.756 1
Si1 Si 0.000 0.000 0.000 1
As1 As 0.500 0.500 0.500 1
# * electronic total energy: -8.49 eV/atom
# * symmetry: R-3m
# * crystal system: trigonal

# USi2As, relaxed, DFT PBE
data_USi2As
_cell_length_a 4.215
_cell_length_b 4.028
_cell_length_c 4.028
_cell_angle_alpha 90.00
_cell_angle_beta 90.00
_cell_angle_gamma 90.00
_space_group_name_H-M_alt 'P 1'
_space_group_IT_number 1
loop_
_space_group_symop_operation_xyz
'x,y,z'
loop_
_atom_site_label
_atom_site_type_symbol
_atom_site_fract_x
_atom_site_fract_y
_atom_site_fract_z
_atom_site_occupancy
As1 As 0.500 0.500 0.500 1
Si1 Si 0.000 0.500 0.000 1
Si2 Si 0.000 0.000 0.500 1
U1 U 0.500 0.000 0.000 1
# * electronic total energy: -7.06 eV/atom
# * symmetry: P4/mmm
# * crystal system: tetragonal

# VSi3As, relaxed, DFT PBE
data_VSi3As
_cell_length_a 4.619
_cell_length_b 4.619
_cell_length_c 4.619
_cell_angle_alpha 90.00
_cell_angle_beta 90.00
_cell_angle_gamma 90.00
_space_group_name_H-M_alt 'P 1'
_space_group_IT_number 1
loop_
_space_group_symop_operation_xyz
'x,y,z'
loop_
_atom_site_label
_atom_site_type_symbol
_atom_site_fract_x
_atom_site_fract_y
_atom_site_fract_z
_atom_site_occupancy
Si1 Si 0.500 0.000 0.000 1
Si2 Si 0.000 0.000 0.500 1
Si3 Si 0.000 0.500 0.000 1
V1 V 0.000 0.000 0.000 1
As1 As 0.500 0.500 0.500 1
# * electronic total energy: -5.30 eV/atom
# * symmetry: Pm-3m
# * crystal system: cubic

# VSiAs, relaxed, DFT PBE
data_VSiAs
_cell_length_a 6.942
_cell_length_b 6.942
_cell_length_c 6.467
_cell_angle_alpha 90.00
_cell_angle_beta 90.00
_cell_angle_gamma 120.00
_space_group_name_H-M_alt 'P 1'
_space_group_IT_number 1
loop_
_space_group_symop_operation_xyz
'x,y,z'
loop_
_atom_site_label
_atom_site_type_symbol
_atom_site_fract_x
_atom_site_fract_y
_atom_site_fract_z
_atom_site_occupancy
As1 As 0.732 0.732 0.500 1
As2 As 0.268 0.000 0.000 1
As3 As 0.732 0.732 0.000 1
As4 As 0.000 0.268 0.500 1
As5 As 0.000 0.268 0.000 1
As6 As 0.268 0.000 0.500 1
V1 V 0.333 0.667 0.000 1
V2 V 0.000 0.000 0.250 1
V3 V 0.667 0.333 0.500 1
V4 V 0.667 0.333 0.000 1
V5 V 0.333 0.667 0.500 1
V6 V 0.000 0.000 0.750 1
Si1 Si 0.378 0.378 0.750 1
Si2 Si 0.622 0.000 0.250 1
Si3 Si 0.378 0.378 0.250 1
Si4 Si 0.000 0.622 0.750 1
Si5 Si 0.000 0.622 0.250 1
Si6 Si 0.622 0.000 0.750 1
# * electronic total energy: -6.45 eV/atom
# * symmetry: P-62m
# * crystal system: hexagonal

# V2SiAs, relaxed, DFT PBE
data_V2SiAs
_cell_length_a 3.512
_cell_length_b 3.512
_cell_length_c 6.085
_cell_angle_alpha 73.23
_cell_angle_beta 73.23
_cell_angle_gamma 60.00
_space_group_name_H-M_alt 'P 1'
_space_group_IT_number 1
loop_
_space_group_symop_operation_xyz
'x,y,z'
loop_
_atom_site_label
_atom_site_type_symbol
_atom_site_fract_x
_atom_site_fract_y
_atom_site_fract_z
_atom_site_occupancy
V1 V 0.259 0.259 0.224 1
V2 V 0.741 0.741 0.776 1
As1 As 0.500 0.500 0.500 1
Si1 Si 0.000 0.000 0.000 1
# * electronic total energy: -7.17 eV/atom
# * symmetry: R-3m
# * crystal system: trigonal

# V2SiAs, relaxed, DFT PBE
data_V2SiAs
_cell_length_a 5.634
_cell_length_b 5.634
_cell_length_c 6.867
_cell_angle_alpha 65.78
_cell_angle_beta 65.78
_cell_angle_gamma 90.00
_space_group_name_H-M_alt 'P 1'
_space_group_IT_number 1
loop_
_space_group_symop_operation_xyz
'x,y,z'
loop_
_atom_site_label
_atom_site_type_symbol
_atom_site_fract_x
_atom_site_fract_y
_atom_site_fract_z
_atom_site_occupancy
V1 V 0.875 0.871 0.750 1
V2 V 0.621 0.125 0.250 1
V3 V 0.375 0.379 0.750 1
V4 V 0.129 0.625 0.250 1
As1 As 0.750 0.250 0.500 1
As2 As 0.000 0.000 0.000 1
Si1 Si 0.250 0.750 0.500 1
Si2 Si 0.500 0.500 0.000 1
# * electronic total energy: -6.48 eV/atom
# * symmetry: I-42d
# * crystal system: tetragonal

# VSi2As, relaxed, DFT PBE
data_VSi2As
_cell_length_a 5.892
_cell_length_b 5.892
_cell_length_c 6.626
_cell_angle_alpha 63.60
_cell_angle_beta 63.60
_cell_angle_gamma 90.00
_space_group_name_H-M_alt 'P 1'
_space_group_IT_number 1
loop_
_space_group_symop_operation_xyz
'x,y,z'
loop_
_atom_site_label
_atom_site_type_symbol
_atom_site_fract_x
_atom_site_fract_y
_atom_site_fract_z
_atom_site_occupancy
As1 As 0.000 0.000 0.000 1
As2 As 0.750 0.250 0.500 1
Si1 Si 0.875 0.882 0.750 1
Si2 Si 0.632 0.125 0.250 1
Si3 Si 0.118 0.625 0.250 1
Si4 Si 0.375 0.368 0.750 1
V1 V 0.500 0.500 0.000 1
V2 V 0.250 0.750 0.500 1
# * electronic total energy: -5.61 eV/atom
# * symmetry: I-42d
# * crystal system: tetragonal

# V2Si2As, relaxed, DFT PBE
data_V2Si2As
_cell_length_a 6.523
_cell_length_b 6.523
_cell_length_c 3.402
_cell_angle_alpha 90.00
_cell_angle_beta 90.00
_cell_angle_gamma 90.00
_space_group_name_H-M_alt 'P 1'
_space_group_IT_number 1
loop_
_space_group_symop_operation_xyz
'x,y,z'
loop_
_atom_site_label
_atom_site_type_symbol
_atom_site_fract_x
_atom_site_fract_y
_atom_site_fract_z
_atom_site_occupancy
Si1 Si 0.368 0.132 0.500 1
Si2 Si 0.868 0.368 0.500 1
Si3 Si 0.632 0.868 0.500 1
Si4 Si 0.132 0.632 0.500 1
V1 V 0.337 0.837 0.000 1
V2 V 0.663 0.163 0.000 1
V3 V 0.837 0.663 0.000 1
V4 V 0.163 0.337 0.000 1
As1 As 0.500 0.500 0.000 1
As2 As 0.000 0.000 0.000 1
# * electronic total energy: -6.94 eV/atom
# * symmetry: P4/mbm
# * crystal system: tetragonal

Number 1: uncorrected formation energy -0.33 eV per atom, D(E_F) 2.78 states/eV per atom, V 23.8 Å³ per atom. Number 2: uncorrected formation energy -0.36 eV per atom, D(E_F) 0.69 states/eV per atom, V 17.1 Å³ per atom. Number 3: uncorrected formation energy 0.71 eV per atom, D(E_F) 0.95 states/eV per atom, V 19.7 Å³ per atom. Number 4: uncorrected formation energy -0.05 eV per atom, D(E_F) 0.76 states/eV per atom, V 15.0 Å³ per atom. Number 5: uncorrected formation energy -0.10 eV per atom, D(E_F) 0.67 states/eV per atom, V 15.3 Å³ per atom. Number 6: uncorrected formation energy 0.59 eV per atom, D(E_F) 1.69 states/eV per atom, V 22.2 Å³ per atom. Number 7: uncorrected formation energy 0.54 eV per atom, D(E_F) 0.87 states/eV per atom, V 22.4 Å³ per atom. Number 8: uncorrected formation energy -0.19 eV per atom, D(E_F) 0.68 states/eV per atom, V 14.5 Å³ per atom.